DFT (PBE) results for Er3TmRh2 after structural relaxation.

Lattice parameters (Å, degrees): 4.592 7.134 8.669 90.00 90.00 90.00
Atoms (fractional coordinates):
Er (0.500, 0.642, 0.170)
Er (0.000, 0.988, 0.086)
Er (0.000, 0.858, 0.669)
Er (0.500, 0.142, 0.830)
Er (0.000, 0.488, 0.914)
Er (0.000, 0.358, 0.331)
Rh (0.000, 0.258, 0.657)
Rh (0.500, 0.742, 0.841)
Rh (0.000, 0.758, 0.343)
Rh (0.500, 0.242, 0.159)
Tm (0.500, 0.012, 0.414)
Tm (0.500, 0.512, 0.586)

Values from the calculation:
The value obtained for the total energy is -74.1 eV per cell. The calculation puts the formation energy at -694.4 meV/atom. The magnetic moment is 0.00 Bohr magnetons per cell. For the density of states at the Fermi level, the calculation gives 11.687 states/eV per cell.